Computed, not measured: a relaxed structure of LiDyTlBr5 at the GGA-PBE level of DFT.

Lattice parameters (Å, degrees): 7.860 7.860 10.530 103.40 103.40 107.79
Fractional coordinates of all 16 atoms:
Li (0.692, 0.308, 0.250)
Li (0.308, 0.692, 0.750)
Dy (0.000, 0.000, 0.500)
Dy (0.000, 0.000, 0.000)
Tl (0.357, 0.643, 0.250)
Tl (0.643, 0.357, 0.750)
Br (0.082, 0.918, 0.250)
Br (0.918, 0.082, 0.750)
Br (0.916, 0.312, 0.111)
Br (0.084, 0.688, 0.889)
Br (0.688, 0.084, 0.389)
Br (0.312, 0.916, 0.611)
Br (0.755, 0.624, 0.433)
Br (0.245, 0.376, 0.567)
Br (0.376, 0.245, 0.067)
Br (0.624, 0.755, 0.933)

## Properties
raw total energy = -59.01 eV per cell
raw formation energy = -1.53 eV per atom
space-group type = No. 15